1.
The following is a DFT calculation (PBE) of an optimized crystal structure of K3TaRu.

a b c (Å): 6.4997 6.4997 6.4997
angles (deg): 90.00 90.00 90.00
Closest atoms and distances in Å follow each position.
Space group Pm-3m (No. 221)
Symmetry-distinct sites (fractional):
1 K 0.0000 0.0000 0.5000 [3 per cell]  2 Ta 3.25
2 Ta 0.0000 0.0000 0.0000 [1 per cell]  6 K 3.25
3 Ru 0.5000 0.5000 0.5000 [1 per cell]  12 K 4.60

Summary:
theoretical density = 2.415 Mg/m³
total DFT energy (no corrections) = -2.4053 eV/atom
distance to the lowest polymorph of the same formula = 141 meV/atom
energy of formation = 2.479 eV per atom
size of the total moment = 4.39 Bohr magnetons per cell



2.
The following is a DFT calculation (PBE) of an optimized crystal structure of K2TaRu.

a b c (Å): 3.1090 6.1932 4.6550
angles (deg): 90.00 92.26 90.00
Closest atoms and distances in Å follow each position.
Space group P2/m (No. 10)
Symmetry-distinct sites (fractional):
1 K 0.2452 0.0000 0.2548 [2 per cell]  4 K 2.73-2.90
2 Ta 0.5000 0.5000 0.0000 [1 per cell]  4 Ru 2.75-2.85
3 Ru 0.0000 0.5000 0.5000 [1 per cell]  4 Ta 2.75-2.85

Summary:
theoretical density = 6.679 Mg/m³
total DFT energy (no corrections) = -4.6376 eV/atom
distance to the lowest polymorph of the same formula = 668 meV/atom
energy of formation = 1.193 eV per atom
size of the total moment = 0.03 Bohr magnetons per cell



3.
The following is a DFT calculation (PBE) of an optimized crystal structure of KTaRu3.

a b c (Å): 4.8713 4.8713 4.8713
angles (deg): 90.00 90.00 90.00
Closest atoms and distances in Å follow each position.
Space group Pm-3m (No. 221)
Symmetry-distinct sites (fractional):
1 K 0.0000 0.0000 0.0000 [1 per cell]  12 Ru 3.44
2 Ta 0.5000 0.5000 0.5000 [1 per cell]  6 Ru 2.44
3 Ru 0.0000 0.5000 0.5000 [3 per cell]  2 Ta 2.44

Summary:
theoretical density = 7.517 Mg/m³
total DFT energy (no corrections) = -6.8093 eV/atom
distance to the lowest polymorph of the same formula = 0 meV/atom
energy of formation = 1.346 eV per atom
size of the total moment = 3.28 Bohr magnetons per cell



4.
The following is a DFT calculation (PBE) of an optimized crystal structure of K2TaRu.

a b c (Å): 2.7826 2.7826 12.1329
angles (deg): 90.00 90.00 90.00
Closest atoms and distances in Å follow each position.
Space group P4/mmm (No. 123)
Symmetry-distinct sites (fractional):
1 K 0.0000 0.0000 0.2245 [2 per cell]  4 K 2.78
2 Ta 0.5000 0.5000 0.5000 [1 per cell]  4 Ta 2.78
3 Ru 0.5000 0.5000 0.0000 [1 per cell]  4 Ru 2.78

Summary:
theoretical density = 6.367 Mg/m³
total DFT energy (no corrections) = -4.4370 eV/atom
distance to the lowest polymorph of the same formula = 868 meV/atom
energy of formation = 1.394 eV per atom
size of the total moment = 0.64 Bohr magnetons per cell



5.
The following is a DFT calculation (PBE) of an optimized crystal structure of K2TaRu2.

a b c (Å): 6.3910 6.3910 6.0591
angles (deg): 90.00 90.00 90.00
Closest atoms and distances in Å follow each position.
Space group P4/mbm (No. 127)
Symmetry-distinct sites (fractional):
1 K 0.1761 0.3239 0.0000 [4 per cell]  5 K 3.18-3.33, 2 Ru 3.47
2 Ta 0.0000 0.0000 0.5000 [2 per cell]  4 Ru 2.48
3 Ru 0.1374 0.6374 0.5000 [4 per cell]  2 Ta 2.48, 1 Ru 2.48

Summary:
theoretical density = 6.190 Mg/m³
total DFT energy (no corrections) = -5.7325 eV/atom
distance to the lowest polymorph of the same formula = 0 meV/atom
energy of formation = 0.787 eV per atom
size of the total moment = 0.00 Bohr magnetons per cell



6.
The following is a DFT calculation (PBE) of an optimized crystal structure of K2YTaRu.

a b c (Å): 6.2923 6.2923 4.6079
angles (deg): 90.00 90.00 90.00
Closest atoms and distances in Å follow each position.
Space group P4/mmm (No. 123)
Symmetry-distinct sites (fractional):
1 K 0.0000 0.5000 0.0000 [2 per cell]  2 Ta 3.15
2 Y 0.0000 0.0000 0.5000 [1 per cell]  8 K 3.90
3 Ta 0.5000 0.5000 0.0000 [1 per cell]  2 Ru 2.30
4 Ru 0.5000 0.5000 0.5000 [1 per cell]  2 Ta 2.30

Summary:
theoretical density = 4.088 Mg/m³
total DFT energy (no corrections) = -4.4482 eV/atom
energy of formation = 1.509 eV per atom
size of the total moment = 0.36 Bohr magnetons per cell



7.
The following is a DFT calculation (PBE) of an optimized crystal structure of KYTaRu2.

a b c (Å): 4.7328 4.7328 4.6291
angles (deg): 90.00 90.00 90.00
Closest atoms and distances in Å follow each position.
Space group P4/mmm (No. 123)
Symmetry-distinct sites (fractional):
1 K 0.0000 0.0000 0.0000 [1 per cell]  2 Ta 2.31, 4 Ru 2.37
2 Y 0.5000 0.5000 0.5000 [1 per cell]  8 Ru 3.31, 4 Ta 3.35
3 Ta 0.0000 0.0000 0.5000 [1 per cell]  2 K 2.31
4 Ru 0.0000 0.5000 0.0000 [2 per cell]  2 K 2.37

Summary:
theoretical density = 8.185 Mg/m³
total DFT energy (no corrections) = -5.3332 eV/atom
energy of formation = 2.260 eV per atom
size of the total moment = 0.00 Bohr magnetons per cell



8.
The following is a DFT calculation (PBE) of an optimized crystal structure of KTb2Ru.

a b c (Å): 4.0429 4.0429 32.8240
angles (deg): 90.00 90.00 120.00
Closest atoms and distances in Å follow each position.
Space group R-3m (No. 166, hexagonal axes)
Symmetry-distinct sites (fractional):
1 K 0.0000 0.0000 0.0000 [3 per cell]  2 Tb 4.04, 6 K 4.04
2 Tb 0.0000 0.0000 0.1230 [6 per cell]  3 Ru 2.74
3 Ru 0.0000 0.0000 0.5000 [3 per cell]  6 Tb 2.74

Summary:
theoretical density = 4.911 Mg/m³
total DFT energy (no corrections) = -4.9067 eV/atom
energy of formation = 0.002 eV per atom
size of the total moment = 0.00 Bohr magnetons per cell